1.
5
Lattice="4.9811 0.0000 0.0000 0.0000 4.9811 0.0000 0.0000 0.0000 4.2281" Properties=species:S:1:pos:R:3 comment="TcPdPb2F | Alexandria | GGA-PBE | relaxed" mass_density_g_cm3=10.10 m_tot_mub_per_fu=2.3 n_ef_per_ev_cell=3.23 e_form_raw_mev_per_atom=280.2 spacegroup="P4/mmm, No. 123" pbc="T T T"
Tc 0.0000 0.0000 0.0000
Pd 2.4905 2.4905 0.0000
Pb 0.0000 2.4905 2.1141
Pb 2.4905 0.0000 2.1141
F 2.4905 2.4905 2.1141


2.
5
Lattice="5.0554 0.0000 0.0000 0.0000 5.0554 0.0000 0.0000 0.0000 5.3649" Properties=species:S:1:pos:R:3 comment="TiPd2PbF | Alexandria | GGA-PBE | relaxed" mass_density_g_cm3=5.90 m_tot_mub_per_fu=0.0 n_ef_per_ev_cell=9.59 e_form_raw_mev_per_atom=752.8 spacegroup="P4/mmm, No. 123" pbc="T T T"
Ti 0.0000 0.0000 0.0000
Pd 0.0000 2.5277 2.6825
Pd 2.5277 0.0000 2.6825
Pb 0.0000 0.0000 2.6825
F 2.5277 2.5277 0.0000